No. 1
SrFeMo2O8 (GGA+U, optimized geometry); total magnetization = 4.00 μB per cell; E = -6.912 eV per atom; V = 185.6 Å³/cell
1.0
-3.720 3.720 3.353
3.720 -3.720 3.353
3.720 3.720 -3.353
Sr Fe Mo O
1 1 2 8
direct
0.000 0.000 0.000
0.250 0.750 0.500
0.500 0.500 0.000
0.750 0.250 0.500
0.340 0.145 0.804
0.340 0.536 0.196
0.394 0.078 0.316
0.464 0.660 0.804
0.762 0.078 0.684
0.855 0.660 0.196
0.922 0.238 0.316
0.922 0.606 0.684

=====

No. 2
TaFeMoO6 (GGA+U, optimized geometry); total magnetization = 9.92 μB per cell; E = -8.116 eV per atom; V = 213.9 Å³/cell
1.0
4.759 0.000 0.000
0.000 4.759 0.000
0.000 0.000 9.446
Ta Fe Mo O
2 2 2 12
direct
0.000 0.000 0.000
0.500 0.500 0.500
0.000 0.000 0.664
0.500 0.500 0.164
0.000 0.000 0.331
0.500 0.500 0.831
0.190 0.190 0.162
0.207 0.207 0.486
0.212 0.212 0.844
0.288 0.712 0.344
0.293 0.707 0.986
0.310 0.690 0.662
0.690 0.310 0.662
0.707 0.293 0.986
0.712 0.288 0.344
0.788 0.788 0.844
0.793 0.793 0.486
0.810 0.810 0.162

=====

No. 3
FeTeMoO2 (GGA+U, optimized geometry); total magnetization = 8.81 μB per cell; E = -5.250 eV per atom; V = 92.2 Å³/cell
1.0
3.928 0.000 0.000
0.000 3.928 0.000
0.000 0.000 5.978
Fe Te Mo O
1 1 1 2
direct
0.000 0.000 0.000
0.000 0.000 0.500
0.500 0.500 0.500
0.000 0.500 0.000
0.500 0.000 0.000

=====

No. 4
Tl2Fe2MoO6 (GGA+U, optimized geometry); total magnetization = 10.00 μB per cell; E = -6.008 eV per atom; V = 166.9 Å³/cell
1.0
2.732 -4.662 0.000
2.732 4.662 0.000
-1.925 0.000 6.554
Tl Fe Mo O
2 2 1 6
direct
0.171 0.829 0.000
0.829 0.171 0.000
0.343 0.657 0.500
0.657 0.343 0.500
0.000 0.000 0.500
0.059 0.376 0.655
0.256 0.256 0.328
0.376 0.059 0.655
0.624 0.941 0.345
0.744 0.744 0.672
0.941 0.624 0.345

=====

No. 5
TlFeMoO4 (GGA+U, optimized geometry); total magnetization = 10.00 μB per cell; E = -6.209 eV per atom; V = 241.5 Å³/cell
1.0
5.593 0.000 0.000
0.000 5.665 0.000
-0.304 0.000 7.621
Tl Fe Mo O
2 2 2 8
direct
0.186 0.250 0.139
0.814 0.750 0.861
0.159 0.750 0.467
0.841 0.250 0.533
0.344 0.250 0.658
0.656 0.750 0.342
0.109 0.007 0.667
0.109 0.493 0.667
0.361 0.750 0.226
0.449 0.250 0.426
0.551 0.750 0.574
0.639 0.250 0.774
0.891 0.507 0.333
0.891 0.993 0.333

=====

No. 6
UFeMoO6 (GGA+U, optimized geometry); total magnetization = 4.00 μB per cell; E = -7.995 eV per atom; V = 217.2 Å³/cell
1.0
5.170 0.000 0.000
-2.585 4.477 0.000
0.000 0.000 9.382
U Fe Mo O
2 2 2 12
direct
0.333 0.667 0.250
0.667 0.333 0.750
0.333 0.667 0.750
0.667 0.333 0.250
0.000 0.000 0.000
0.000 0.000 0.500
0.007 0.330 0.629
0.007 0.677 0.871
0.323 0.330 0.871
0.323 0.993 0.629
0.330 0.007 0.129
0.330 0.323 0.371
0.670 0.677 0.629
0.670 0.993 0.871
0.677 0.007 0.371
0.677 0.670 0.129
0.993 0.323 0.129
0.993 0.670 0.371

=====

No. 7
VFeMoO7 (GGA+U, optimized geometry); total magnetization = 10.12 μB per cell; E = -7.134 eV per atom; V = 302.3 Å³/cell
1.0
5.647 0.000 0.000
-1.294 6.687 0.000
-0.037 -0.894 8.005
V Fe Mo O
2 2 2 14
direct
0.191 0.260 0.336
0.809 0.740 0.664
0.327 0.808 0.404
0.673 0.192 0.596
0.203 0.286 0.892
0.797 0.714 0.108
0.069 0.800 0.233
0.087 0.802 0.584
0.169 0.204 0.109
0.270 0.545 0.901
0.295 0.509 0.386
0.390 0.123 0.426
0.437 0.188 0.783
0.563 0.812 0.217
0.610 0.877 0.574
0.705 0.491 0.614
0.730 0.455 0.099
0.831 0.796 0.891
0.913 0.198 0.416
0.931 0.200 0.767